1.
The following is a PBE calculation of a geometry-optimized Pr2AlS structure, from Alexandria via LeMat-Bulk.

```
Pr2AlS
1.0
4.057 0.000 0.000
2.029 3.514 0.000
2.029 1.171 7.692
Pr S Al
2 1 1
Cartesian
6.086 3.514 5.955
2.029 1.171 1.737
0.000 0.000 0.000
4.057 2.343 3.846
```

Calculated values
Energy relative to the elements, uncorrected in eV/atom: -1.089
Space-group type: No. 166
Fermi-level density of states in states/eV/f.u.: 2.5
Volume in Å³/atom: 27.42
Size of the total moment in μB per cell: 0.000

***

2.
The following is a PBE calculation of a geometry-optimized AlSb2PbO structure, from Alexandria via LeMat-Bulk.

```
AlSb2PbO
1.0
-0.981 0.680 4.962
-5.467 -1.006 -0.943
0.771 -4.975 0.834
Pb Sb Al O
1 2 1 1
Cartesian
-2.734 -0.503 -0.471
0.386 -2.488 0.417
-0.490 0.340 2.481
0.000 0.000 0.000
-2.838 -2.651 2.427
```

Calculated values
Energy relative to the elements, uncorrected in eV/atom: 0.832
Space-group type: No. 123
Fermi-level density of states in states/eV/f.u.: 7.3
Volume in Å³/atom: 29.37
Size of the total moment in μB per cell: 0.000

***

3.
The following is a PBE calculation of a geometry-optimized CdFeCo3 structure, from Alexandria via LeMat-Bulk.

```
CdFeCo3
1.0
4.324 0.000 0.000
0.000 4.324 0.000
0.000 0.000 4.324
Co Fe Cd
3 1 1
Cartesian
0.000 2.162 0.000
0.000 0.000 2.162
2.162 0.000 0.000
0.000 0.000 0.000
2.162 2.162 2.162
```

Calculated values
Space-group type: No. 221
Fermi-level density of states in states/eV/f.u.: 7.0
ΔH_f (0 K) in meV per atom: 972.7
Volume in Å³/atom: 16.17
Size of the total moment in μB per cell: 7.358

***

4.
The following is a PBE calculation of a geometry-optimized Ho2MnNi4Ge3 structure, from Alexandria via LeMat-Bulk.

```
Ho2MnNi4Ge3
1.0
3.989 0.000 0.000
0.000 3.989 0.000
0.000 0.000 9.994
Ho Mn Ni Ge
2 1 4 3
Cartesian
1.994 0.000 2.483
0.000 1.994 7.511
1.994 1.994 4.997
1.994 1.994 0.000
0.000 0.000 0.000
1.994 0.000 6.363
0.000 1.994 3.631
0.000 0.000 4.997
1.994 0.000 8.690
0.000 1.994 1.304
```

Calculated values
Space-group type: No. 115
Fermi-level density of states in states/eV/f.u.: 8.7
ΔH_f (0 K) in meV per atom: -582.1
Volume in Å³/atom: 15.90
Size of the total moment in μB per cell: 3.225

***

Q: Which value of Fermi-level density of states does entry 3 give?
A: 7.0 states/eV/f.u.